No. 1
First-principles (SCAN) data for a crystal of TcSb relaxed with PBEsol, as listed in Alexandria.

Geometry as POSCAR:
```
TcSb
1.0
2.0506 1.1839 5.9426
-2.0506 1.1839 5.9426
0.0000 -2.3678 5.9426
Tc Sb
2 2
direct
0.1542 0.1542 0.1542
0.8458 0.8458 0.8458
0.4020 0.4020 0.4020
0.5980 0.5980 0.5980
```

Calculated values
- Calculated volume: 86.6 Å³/cell
- Uncorrected energy: -143.8 eV for the cell shown

***

No. 2
First-principles (SCAN) data for a crystal of Na6Sn2B4SO16 relaxed with PBEsol, as listed in Alexandria.

Geometry as POSCAR:
```
Na6Sn2B4SO16
1.0
0.0000 7.0422 7.0422
7.0422 0.0000 7.0422
7.0422 7.0422 0.0000
Na Sn B S O
12 4 8 2 32
direct
0.0890 0.0890 0.6610
0.0890 0.6610 0.0890
0.0890 0.6610 0.6610
0.3390 0.3390 0.9110
0.3390 0.9110 0.3390
0.3390 0.9110 0.9110
0.6610 0.0890 0.0890
0.6610 0.0890 0.6610
0.6610 0.6610 0.0890
0.9110 0.3390 0.3390
0.9110 0.3390 0.9110
0.9110 0.9110 0.3390
0.0000 0.5000 0.5000
0.5000 0.0000 0.5000
0.5000 0.5000 0.0000
0.5000 0.5000 0.5000
0.2845 0.2845 0.2845
0.2845 0.2845 0.6466
0.2845 0.6466 0.2845
0.3534 0.7155 0.7155
0.6466 0.2845 0.2845
0.7155 0.3534 0.7155
0.7155 0.7155 0.3534
0.7155 0.7155 0.7155
0.1250 0.1250 0.1250
0.8750 0.8750 0.8750
0.0638 0.0638 0.0638
0.0638 0.0638 0.3086
0.0638 0.3086 0.0638
0.1340 0.3070 0.6507
0.1340 0.4083 0.3070
0.1340 0.6507 0.4083
0.3070 0.1340 0.4083
0.3070 0.4083 0.6507
0.3070 0.6507 0.1340
0.3086 0.0638 0.0638
0.3493 0.5917 0.8660
0.3493 0.6930 0.5917
0.3493 0.8660 0.6930
0.4083 0.1340 0.6507
0.4083 0.3070 0.1340
0.4083 0.6507 0.3070
0.5917 0.3493 0.6930
0.5917 0.6930 0.8660
0.5917 0.8660 0.3493
0.6507 0.1340 0.3070
0.6507 0.3070 0.4083
0.6507 0.4083 0.1340
0.6914 0.9362 0.9362
0.6930 0.3493 0.8660
0.6930 0.5917 0.3493
0.6930 0.8660 0.5917
0.8660 0.3493 0.5917
0.8660 0.5917 0.6930
0.8660 0.6930 0.3493
0.9362 0.6914 0.9362
0.9362 0.9362 0.6914
0.9362 0.9362 0.9362
```

Calculated values
- Calculated volume: 698.5 Å³/cell
- Uncorrected energy: -601.9 eV for the cell shown

***

No. 3
First-principles (SCAN) data for a crystal of Ba2MnSb relaxed with PBEsol, as listed in Alexandria.

Geometry as POSCAR:
```
Ba2MnSb
1.0
4.5165 0.0000 0.0000
0.0000 4.5165 0.0000
0.0000 0.0000 7.0674
Ba Mn Sb
2 1 1
direct
0.0000 0.0000 0.0000
0.5000 0.5000 0.3528
0.0000 0.0000 0.5530
0.5000 0.5000 0.8138
```

Calculated values
- Calculated volume: 144.2 Å³/cell
- Uncorrected energy: -135.3 eV for the cell shown

***

No. 4
First-principles (SCAN) data for a crystal of NaPbSeO2 relaxed with PBEsol, as listed in Alexandria.

Geometry as POSCAR:
```
NaPbSeO2
1.0
4.0583 0.0000 0.0000
0.0000 4.0583 0.0000
0.0000 0.0000 5.5378
Na Pb Se O
1 1 1 2
direct
0.0000 0.0000 0.0000
0.5000 0.5000 0.0000
0.5000 0.5000 0.5000
0.0000 0.5000 0.5000
0.5000 0.0000 0.5000
```

Calculated values
- Calculated volume: 91.2 Å³/cell
- Uncorrected energy: -112.9 eV for the cell shown

***

No. 5
First-principles (SCAN) data for a crystal of SrMnTe2 relaxed with PBEsol, as listed in Alexandria.

Geometry as POSCAR:
```
SrMnTe2
1.0
6.4990 -2.1315 0.0000
6.4990 2.1315 0.0000
-0.0386 0.0000 4.6265
Sr Mn Te
1 1 2
direct
0.0000 0.0000 0.0000
0.7427 0.7427 0.3391
0.2860 0.2860 0.9958
0.5522 0.5522 0.5029
```

Calculated values
- Calculated volume: 128.2 Å³/cell
- Uncorrected energy: -119.3 eV for the cell shown

***

No. 6
First-principles (SCAN) data for a crystal of Ta3GaHg relaxed with PBEsol, as listed in Alexandria.

Geometry as POSCAR:
```
Ta3GaHg
1.0
4.6712 0.0000 0.0000
0.0000 4.6712 0.0000
0.0000 0.0000 4.6712
Ta Ga Hg
3 1 1
direct
0.0000 0.0000 0.5000
0.0000 0.5000 0.0000
0.5000 0.0000 0.0000
0.0000 0.0000 0.0000
0.5000 0.5000 0.5000
```

Calculated values
- Calculated volume: 101.9 Å³/cell
- Uncorrected energy: -278.4 eV for the cell shown

***

No. 7
First-principles (SCAN) data for a crystal of BaMnO3 relaxed with PBEsol, as listed in Alexandria.

Geometry as POSCAR:
```
BaMnO3
1.0
2.8232 1.6300 6.9601
-2.8232 1.6300 6.9601
0.0000 -3.2599 6.9601
Ba Mn O
3 3 9
direct
0.0000 0.0000 0.0000
0.2185 0.2185 0.2185
0.7815 0.7815 0.7815
0.3810 0.3810 0.3810
0.5000 0.5000 0.5000
0.6190 0.6190 0.6190
0.0000 0.5000 0.5000
0.2633 0.7062 0.7062
0.2938 0.2938 0.7367
0.2938 0.7367 0.2938
0.5000 0.0000 0.5000
0.5000 0.5000 0.0000
0.7062 0.2633 0.7062
0.7062 0.7062 0.2633
0.7367 0.2938 0.2938
```

Calculated values
- Calculated volume: 192.2 Å³/cell
- Uncorrected energy: -269.4 eV for the cell shown

***

No. 8
First-principles (SCAN) data for a crystal of Cd3CuSe relaxed with PBEsol, as listed in Alexandria.

Geometry as POSCAR:
```
Cd3CuSe
1.0
5.2300 0.0000 0.0000
0.0000 5.2300 0.0000
0.0000 0.0000 5.2300
Cd Cu Se
3 1 1
direct
0.0000 0.0000 0.5000
0.0000 0.5000 0.0000
0.5000 0.0000 0.0000
0.5000 0.5000 0.5000
0.0000 0.0000 0.0000
```

Calculated values
- Calculated volume: 143.1 Å³/cell
- Uncorrected energy: -122.7 eV for the cell shown

***

No. 9
First-principles (SCAN) data for a crystal of Sr2ScTaSb relaxed with PBEsol, as listed in Alexandria.

Geometry as POSCAR:
```
Sr2ScTaSb
1.0
5.7884 0.0000 0.0000
0.0000 5.7884 0.0000
0.0000 0.0000 5.2771
Sr Sc Ta Sb
2 1 1 1
direct
0.0000 0.5000 0.0000
0.5000 0.0000 0.0000
0.0000 0.0000 0.5000
0.5000 0.5000 0.0000
0.5000 0.5000 0.5000
```

Calculated values
- Calculated volume: 176.8 Å³/cell
- Uncorrected energy: -158.3 eV for the cell shown

***

No. 10
First-principles (SCAN) data for a crystal of Li2MnBe relaxed with PBEsol, as listed in Alexandria.

Geometry as POSCAR:
```
Li2MnBe
1.0
2.2838 -4.3199 0.0000
2.2838 4.3199 0.0000
0.0000 0.0000 2.2117
Li Mn Be
2 1 1
direct
0.0000 0.5000 0.0000
0.5000 0.0000 0.0000
0.0000 0.0000 0.5000
0.5000 0.5000 0.5000
```

Calculated values
- Calculated volume: 43.6 Å³/cell
- Uncorrected energy: -25.8 eV for the cell shown

***

No. 11
First-principles (SCAN) data for a crystal of ReB2 relaxed with PBEsol, as listed in Alexandria.

Geometry as POSCAR:
```
ReB2
1.0
2.8937 0.0000 0.0000
-1.4469 2.5060 0.0000
0.0000 0.0000 7.4690
Re B
2 4
direct
0.3333 0.6667 0.2500
0.6667 0.3333 0.7500
0.3333 0.6667 0.5482
0.3333 0.6667 0.9518
0.6667 0.3333 0.0482
0.6667 0.3333 0.4518
```

Calculated values
- Calculated volume: 54.2 Å³/cell
- Uncorrected energy: -174.4 eV for the cell shown

***

No. 12
First-principles (SCAN) data for a crystal of NiAgAu2 relaxed with PBEsol, as listed in Alexandria.

Geometry as POSCAR:
```
NiAgAu2
1.0
2.8748 0.0000 0.0000
0.0000 2.8748 0.0000
0.0000 0.0000 7.3436
Ni Ag Au
1 1 2
direct
0.0000 0.0000 0.0000
0.0000 0.0000 0.5000
0.5000 0.5000 0.2245
0.5000 0.5000 0.7755
```

Calculated values
- Calculated volume: 60.7 Å³/cell
- Uncorrected energy: -185.8 eV for the cell shown

***

Among the records above, which one has the highest calculated volume? Na6Sn2B4SO16

***

Number 11 is which compound? ReB2

***

Number 12 is which compound? NiAgAu2